# 1
SrY3Mn after structural relaxation. Source: the Alexandria database, functional PBE.

Lattice parameters (Å, degrees): 5.6388 5.6388 5.6388 90.00 90.00 90.00
Space group Pm-3m (No. 221)
Asymmetric unit:
Sr (0.0000, 0.0000, 0.0000)
Y (0.0000, 0.0000, 0.5000)
Mn (0.5000, 0.5000, 0.5000)

Output
E_form = 7.193 eV/f.u.



# 2
SrY2Mn after structural relaxation. Source: the Alexandria database, functional PBE.

Lattice parameters (Å, degrees): 3.6625 3.6625 33.0502 90.00 90.00 120.00
Space group R-3m (No. 166, hexagonal axes)
Asymmetric unit:
Sr (0.0000, 0.0000, 0.0000)
Y (0.0000, 0.0000, 0.2316)
Mn (0.0000, 0.0000, 0.5000)

Output
E_form = 1.496 eV/f.u.